No. 1
# TaNi2Os, relaxed, DFT PBE
data_TaNi2Os
_chemical_formula_sum 'Ta2 Ni4 Os2'
_cell_length_a 8.809
_cell_length_b 2.679
_cell_length_c 4.661
_cell_angle_alpha 90.00
_cell_angle_beta 99.07
_cell_angle_gamma 90.00
_space_group_name_H-M_alt 'C 1 m 1'
_space_group_IT_number 8
_space_group_name_Hall 'C -2y'
loop_
_atom_site_label
_atom_site_fract_x
_atom_site_fract_y
_atom_site_fract_z
Ta1 0.000 0.000 0.000
Ni1 0.002 0.500 0.514
Ni2 0.249 0.000 0.749
Os1 0.262 0.500 0.288
# D(E_F) (states/eV per atom): 0.8679
# Final energy (Ry/atom): -0.6416
# ΔE to the lowest computed polymorph (eV per atom): 0.184

***

No. 2
# TaNi2Os, relaxed, DFT PBE
data_TaNi2Os
_chemical_formula_sum 'Ta1 Ni2 Os1'
_cell_length_a 2.733
_cell_length_b 2.733
_cell_length_c 7.279
_cell_angle_alpha 90.00
_cell_angle_beta 90.00
_cell_angle_gamma 90.00
_space_group_name_H-M_alt 'P 4 m m'
_space_group_IT_number 99
_space_group_name_Hall 'P 4 -2'
loop_
_atom_site_label
_atom_site_fract_x
_atom_site_fract_y
_atom_site_fract_z
Ta1 0.000 0.000 0.000
Ni1 0.000 0.000 0.476
Ni2 0.500 0.500 0.252
Os1 0.500 0.500 0.703
# D(E_F) (states/eV per atom): 1.3510
# Final energy (Ry/atom): -0.6351
# ΔE to the lowest computed polymorph (eV per atom): 0.272

***

No. 3
# TaNi2Os, relaxed, DFT PBE
data_TaNi2Os
_chemical_formula_sum 'Ta2 Ni4 Os2'
_cell_length_a 5.310
_cell_length_b 7.391
_cell_length_c 2.741
_cell_angle_alpha 90.00
_cell_angle_beta 90.00
_cell_angle_gamma 90.00
_space_group_name_H-M_alt 'C m m m'
_space_group_IT_number 65
_space_group_name_Hall '-C 2 2'
loop_
_atom_site_label
_atom_site_fract_x
_atom_site_fract_y
_atom_site_fract_z
Ta1 0.000 0.000 0.000
Ni1 0.250 0.250 0.500
Os1 0.000 0.500 0.000
# D(E_F) (states/eV per atom): 1.2252
# Final energy (Ry/atom): -0.6421
# ΔE to the lowest computed polymorph (eV per atom): 0.178

***

No. 4
# TaNi2Os, relaxed, DFT PBE
data_TaNi2Os
_chemical_formula_sum 'Ta4 Ni8 Os4'
_cell_length_a 6.056
_cell_length_b 6.056
_cell_length_c 6.056
_cell_angle_alpha 90.00
_cell_angle_beta 90.00
_cell_angle_gamma 90.00
_space_group_name_H-M_alt 'F -4 3 m'
_space_group_IT_number 216
_space_group_name_Hall 'F -4 2 3'
loop_
_atom_site_label
_atom_site_fract_x
_atom_site_fract_y
_atom_site_fract_z
Ta1 0.000 0.000 0.000
Ni1 0.000 0.000 0.500
Ni2 0.250 0.250 0.750
Os1 0.250 0.250 0.250
# D(E_F) (states/eV per atom): 1.2823
# Final energy (Ry/atom): -0.6393
# ΔE to the lowest computed polymorph (eV per atom): 0.215

***

No. 5
# Ta3NiOs, relaxed, DFT PBE
data_Ta3NiOs
_chemical_formula_sum 'Ta3 Ni1 Os1'
_cell_length_a 4.809
_cell_length_b 4.809
_cell_length_c 4.809
_cell_angle_alpha 90.00
_cell_angle_beta 90.00
_cell_angle_gamma 90.00
_space_group_name_H-M_alt 'P m -3 m'
_space_group_IT_number 221
_space_group_name_Hall '-P 4 2 3'
loop_
_atom_site_label
_atom_site_fract_x
_atom_site_fract_y
_atom_site_fract_z
Ta1 0.000 0.000 0.500
Ni1 0.500 0.500 0.500
Os1 0.000 0.000 0.000
# D(E_F) (states/eV per atom): 1.3130
# Final energy (Ry/atom): -0.6690
# ΔE to the lowest computed polymorph (eV per atom): 0.388

***

No. 6
# TaNi2Os, relaxed, DFT PBE
data_TaNi2Os
_chemical_formula_sum 'Ta4 Ni8 Os4'
_cell_length_a 5.996
_cell_length_b 5.996
_cell_length_c 5.996
_cell_angle_alpha 90.00
_cell_angle_beta 90.00
_cell_angle_gamma 90.00
_space_group_name_H-M_alt 'F m -3 m'
_space_group_IT_number 225
_space_group_name_Hall '-F 4 2 3'
loop_
_atom_site_label
_atom_site_fract_x
_atom_site_fract_y
_atom_site_fract_z
Ta1 0.000 0.000 0.000
Ni1 0.250 0.250 0.250
Os1 0.000 0.000 0.500
# D(E_F) (states/eV per atom): 1.2120
# Final energy (Ry/atom): -0.6346
# ΔE to the lowest computed polymorph (eV per atom): 0.279

***

No. 7
# TaNi2Os, relaxed, DFT PBE
data_TaNi2Os
_chemical_formula_sum 'Ta1 Ni2 Os1'
_cell_length_a 3.207
_cell_length_b 3.207
_cell_length_c 5.277
_cell_angle_alpha 90.00
_cell_angle_beta 90.00
_cell_angle_gamma 90.00
_space_group_name_H-M_alt 'P 4/m m m'
_space_group_IT_number 123
_space_group_name_Hall '-P 4 2'
loop_
_atom_site_label
_atom_site_fract_x
_atom_site_fract_y
_atom_site_fract_z
Ta1 0.000 0.000 0.000
Ni1 0.500 0.500 0.250
Os1 0.000 0.000 0.500
# D(E_F) (states/eV per atom): 0.8368
# Final energy (Ry/atom): -0.6367
# ΔE to the lowest computed polymorph (eV per atom): 0.250

***

No. 8
# TaNi2Os, relaxed, DFT PBE
data_TaNi2Os
_chemical_formula_sum 'Ta1 Ni2 Os1'
_cell_length_a 2.696
_cell_length_b 2.696
_cell_length_c 7.446
_cell_angle_alpha 90.00
_cell_angle_beta 90.00
_cell_angle_gamma 90.00
_space_group_name_H-M_alt 'P 4/m m m'
_space_group_IT_number 123
_space_group_name_Hall '-P 4 2'
loop_
_atom_site_label
_atom_site_fract_x
_atom_site_fract_y
_atom_site_fract_z
Ta1 0.000 0.000 0.000
Ni1 0.500 0.500 0.263
Os1 0.000 0.000 0.500
# D(E_F) (states/eV per atom): 1.6104
# Final energy (Ry/atom): -0.6308
# ΔE to the lowest computed polymorph (eV per atom): 0.331

***

No. 9
# TaNi2Os, relaxed, DFT PBE
data_TaNi2Os
_chemical_formula_sum 'Ta1 Ni2 Os1'
_cell_length_a 2.652
_cell_length_b 4.146
_cell_length_c 4.991
_cell_angle_alpha 90.00
_cell_angle_beta 101.72
_cell_angle_gamma 90.00
_space_group_name_H-M_alt 'P 1 m 1'
_space_group_IT_number 6
_space_group_name_Hall 'P -2y'
loop_
_atom_site_label
_atom_site_fract_x
_atom_site_fract_y
_atom_site_fract_z
Ta1 0.000 0.000 0.000
Ni1 0.583 0.500 0.232
Ni2 0.676 0.000 0.481
Os1 0.260 0.500 0.687
# D(E_F) (states/eV per atom): 0.6701
# Final energy (Ry/atom): -0.6458
# ΔE to the lowest computed polymorph (eV per atom): 0.127

***

No. 10
# TaNi2Os, relaxed, DFT PBE
data_TaNi2Os
_chemical_formula_sum 'Ta1 Ni2 Os1'
_cell_length_a 3.744
_cell_length_b 3.744
_cell_length_c 3.829
_cell_angle_alpha 90.00
_cell_angle_beta 90.00
_cell_angle_gamma 90.00
_space_group_name_H-M_alt 'P 4/m m m'
_space_group_IT_number 123
_space_group_name_Hall '-P 4 2'
loop_
_atom_site_label
_atom_site_fract_x
_atom_site_fract_y
_atom_site_fract_z
Ta1 0.000 0.000 0.000
Ni1 0.000 0.500 0.500
Os1 0.500 0.500 0.000
# D(E_F) (states/eV per atom): 1.1973
# Final energy (Ry/atom): -0.6551
# ΔE to the lowest computed polymorph (eV per atom): 0.000

***

No. 11
# Ta3NiOs, relaxed, DFT PBE
data_Ta3NiOs
_chemical_formula_sum 'Ta3 Ni1 Os1'
_cell_length_a 4.515
_cell_length_b 4.515
_cell_length_c 4.515
_cell_angle_alpha 90.00
_cell_angle_beta 90.00
_cell_angle_gamma 90.00
_space_group_name_H-M_alt 'P m -3 m'
_space_group_IT_number 221
_space_group_name_Hall '-P 4 2 3'
loop_
_atom_site_label
_atom_site_fract_x
_atom_site_fract_y
_atom_site_fract_z
Ta1 0.000 0.000 0.500
Ni1 0.000 0.000 0.000
Os1 0.500 0.500 0.500
# D(E_F) (states/eV per atom): 0.9467
# Final energy (Ry/atom): -0.6975
# ΔE to the lowest computed polymorph (eV per atom): 0.000

***

No. 12
# Ta2NiTeOs, relaxed, DFT PBE
data_Ta2NiTeOs
_chemical_formula_sum 'Ta2 Ni1 Te1 Os1'
_cell_length_a 4.866
_cell_length_b 4.866
_cell_length_c 5.019
_cell_angle_alpha 90.00
_cell_angle_beta 90.00
_cell_angle_gamma 90.00
_space_group_name_H-M_alt 'P 4/m m m'
_space_group_IT_number 123
_space_group_name_Hall '-P 4 2'
loop_
_atom_site_label
_atom_site_fract_x
_atom_site_fract_y
_atom_site_fract_z
Ta1 0.000 0.500 0.000
Ni1 0.000 0.000 0.500
Te1 0.500 0.500 0.500
Os1 0.500 0.500 0.000
# D(E_F) (states/eV per atom): 1.7715
# Final energy (Ry/atom): -0.5280
# Formation energy (no corrections) (meV/atom): 1588